[1]
VASP calculation (PBE-GGA) on crystalline Si2AgBr at its relaxed geometry.

The structure belongs to space group Cmmm (No. 65); the cell edges are 3.2335, 5.5004 and 8.8218 Å and the angles 90.00°, 90.00° and 90.00°. The inequivalent atoms are Si at (0.0000, 0.0000, 0.2450), Ag at (0.0000, 0.5000, 0.0000) and Br at (0.0000, 0.5000, 0.5000).

The calculation puts the total energy at -3.244 eV per atom. The calculation puts the distance to the lowest polymorph of the same formula at 480 meV/atom. As for the raw formation energy: 0.60 eV/atom. Its density of states at the Fermi level is 1.72 states/eV/cell.

[2]
VASP calculation (PBE-GGA) on crystalline Si2AgBr at its relaxed geometry.

The structure belongs to space group Cmmm (No. 65); the cell edges are 5.1512, 6.3162 and 5.1645 Å and the angles 90.00°, 90.00° and 90.00°. The inequivalent atoms are Si at (0.0000, 0.1865, 0.0000), Ag at (0.0000, 0.0000, 0.5000) and Br at (0.0000, 0.5000, 0.5000).

The calculation puts the total energy at -3.466 eV per atom. The calculation puts the distance to the lowest polymorph of the same formula at 258 meV/atom. As for the raw formation energy: 0.38 eV/atom. Its density of states at the Fermi level is 3.73 states/eV/cell.

[3]
VASP calculation (PBE-GGA) on crystalline Si2AgBr at its relaxed geometry.

The structure belongs to space group P4mm (No. 99); the cell edges are 3.4752, 3.4752 and 7.1896 Å and the angles 90.00°, 90.00° and 90.00°. The inequivalent atoms are Si at (0.0000, 0.0000, 0.0000), Si at (0.5000, 0.5000, 0.0761), Ag at (0.5000, 0.5000, 0.4131) and Br at (0.0000, 0.0000, 0.6608).

The calculation puts the total energy at -3.674 eV per atom. The calculation puts the distance to the lowest polymorph of the same formula at 50 meV/atom. As for the raw formation energy: 0.17 eV/atom. Its density of states at the Fermi level is 1.43 states/eV/cell.

[4]
VASP calculation (PBE-GGA) on crystalline SiAg2Br at its relaxed geometry.

The structure belongs to space group R3m (No. 160, hexagonal axes); the cell edges are 3.5147, 3.5147 and 23.4065 Å and the angles 90.00°, 90.00° and 120.00°. The inequivalent atoms are Si at (0.0000, 0.0000, 0.0000), Ag at (0.0000, 0.0000, 0.2666), Ag at (0.0000, 0.0000, 0.5150) and Br at (0.0000, 0.0000, 0.7531).

The calculation puts the total energy at -2.916 eV per atom. The calculation puts the distance to the lowest polymorph of the same formula at 144 meV/atom. As for the raw formation energy: 0.28 eV/atom. Its density of states at the Fermi level is 7.15 states/eV/cell.